# 1
VASP calculation (PBE) on a relaxed CaIn2Ge2 crystal.

Output
Fermi-level density of states = 0.445 states/eV/atom
raw total energy = -3.495 eV per atom
formation energy = -0.152 eV per atom
size of the total moment = 0.00 Bohr magnetons per cell

Cell: 4.389 4.389 7.295 Å, 72.49 72.49 90.00°
Element x y z (fractional)
In 0.250 0.750 0.500
In 0.750 0.250 0.500
Ca 0.000 0.000 0.000
Ge 0.404 0.404 0.191
Ge 0.596 0.596 0.809


# 2
VASP calculation (PBE) on a relaxed CaInGe3 crystal.

Output
Fermi-level density of states = 0.930 states/eV/atom
raw total energy = -2.903 eV per atom
formation energy = 0.816 eV per atom
size of the total moment = 0.75 Bohr magnetons per cell
ΔE to the lowest computed polymorph = 0.393 eV/atom

Cell: 5.432 5.432 5.432 Å, 90.00 90.00 90.00°
Each line ends with the local moment (μB).
Element x y z (fractional)
Ge 0.500 0.000 0.000  0.10
Ge 0.000 0.500 0.000  0.10
Ca 0.000 0.000 0.000  0.13
Ge 0.000 0.000 0.500  0.08
In 0.500 0.500 0.500  -0.01


# 3
VASP calculation (PBE) on a relaxed CaIn2Ge2 crystal.

Output
Fermi-level density of states = 0.411 states/eV/atom
raw total energy = -3.445 eV per atom
formation energy = -0.102 eV per atom
size of the total moment = 0.00 Bohr magnetons per cell

Cell: 5.059 5.059 6.241 Å, 66.09 66.09 90.00°
Element x y z (fractional)
Ge 0.250 0.750 0.500
In 0.364 0.364 0.272
In 0.636 0.636 0.728
Ca 0.000 0.000 0.000
Ge 0.750 0.250 0.500